A geometry-optimized DyHfCr2O6 structure, computed with PBE+U.

a = 5.3267 Å, b = 5.4159 Å, c = 5.6967 Å
α = 63.32°, β = 89.90°, γ = 60.93°
Fractional coordinates of all 10 atoms:
Dy 0.0000 0.0000 0.0000
Hf 0.5187 0.9691 0.5381
Cr 0.2161 0.5713 0.6255
Cr 0.7230 0.5506 0.1555
O 0.1478 0.0253 0.3654
O 0.3236 0.1075 0.8163
O 0.4341 0.4400 0.3595
O 0.5800 0.4955 0.8377
O 0.8239 0.7518 0.3564
O 0.9277 0.7286 0.8389

Energy: -8.662 eV per atom
V: 123.3 Å³/cell
Crystal system: triclinic
Symmetry: P1

A geometry-optimized DyCr2HgO8 structure, computed with PBE+U.

a = 6.0547 Å, b = 6.0547 Å, c = 6.0547 Å
α = 105.73°, β = 105.73°, γ = 117.24°
Fractional coordinates of all 12 atoms:
Dy 0.0000 0.0000 0.0000
Cr 0.5000 0.5000 0.0000
Cr 0.7500 0.2500 0.5000
Hg 0.2500 0.7500 0.5000
O 0.3313 0.1557 0.8244
O 0.3313 0.5069 0.1756
O 0.3978 0.0884 0.3094
O 0.4931 0.6687 0.8244
O 0.7789 0.0884 0.6906
O 0.8443 0.6687 0.1756
O 0.9116 0.2211 0.3094
O 0.9116 0.6022 0.6906

Energy: -6.526 eV per atom
V: 168.5 Å³/cell
Crystal system: tetragonal
Symmetry: I-4m2

Ρ, respectively: 7.284, 5.865 Mg/m³.